# 1
CrGeSb | PBE | relaxed

Structure (POSCAR):
```
CrGeSb
1.0
6.3195 0.0000 0.0000
0.0000 6.3195 0.0000
0.0000 0.0000 6.3195
Ge Cr Sb
4 4 4
Direct
0.2500 0.7500 0.2500
0.7500 0.2500 0.2500
0.7500 0.7500 0.7500
0.2500 0.2500 0.7500
0.9998 0.9998 0.9998
0.5002 0.0002 0.4998
0.0002 0.4998 0.5002
0.4998 0.5002 0.0002
0.2497 0.2497 0.2497
0.7497 0.2503 0.7503
0.7503 0.7497 0.2503
0.2503 0.7503 0.7497
```

symmetry = F-43m (216)


# 2
CrGeSb2 | PBE | relaxed

Structure (POSCAR):
```
CrGeSb2
1.0
-3.8035 -4.5544 2.3253
3.8955 -0.7031 4.9946
-3.0372 1.4684 6.6415
Ge Sb Cr
2 4 2
Direct
0.0000 0.0000 0.0000
0.7500 0.2500 0.5000
0.1236 0.6250 0.2500
0.8750 0.8764 0.7500
0.6264 0.1250 0.2500
0.3750 0.3736 0.7500
0.5000 0.5000 0.0000
0.2500 0.7500 0.5000
```

symmetry = I-42d (122)


# 3
CrGeSb3 | PBE | relaxed

Structure (POSCAR):
```
CrGeSb3
1.0
-2.7824 -4.1862 -0.5373
1.8653 -0.6425 -4.6543
3.7860 -2.7600 1.8983
Ge Sb Cr
1 3 1
Direct
0.5000 0.5000 0.5000
0.0000 0.0000 0.5000
0.0000 0.5000 0.0000
0.5000 0.0000 0.0000
0.0000 0.0000 0.0000
```

symmetry = Pm-3m (221)


# 4
CrGe3Sb | PBE | relaxed

Structure (POSCAR):
```
CrGe3Sb
1.0
-2.4971 -1.6638 3.7166
-2.4974 -2.8179 -2.9393
3.2163 -3.4797 0.6032
Cr Ge Sb
1 3 1
Direct
0.0000 0.0000 0.0000
0.0000 0.0000 0.5000
0.5000 0.0000 0.0000
0.0000 0.5000 0.0000
0.5000 0.5000 0.5000
```

energy above the lowest structure with this stoichiometry = 0 meV per atom
symmetry = Pm-3m (221)


# 5
Cr2SiGeSb | PBE | relaxed

Structure (POSCAR):
```
Cr2SiGeSb
1.0
-3.7896 -3.2912 0.6451
2.0824 -1.4912 4.6248
-2.6972 3.5693 2.3653
Cr Sb Si Ge
2 1 1 1
Direct
0.5000 0.0000 0.0000
0.0000 0.0000 0.5000
0.0000 0.0000 0.0000
0.5000 0.5000 0.5000
0.0000 0.5000 0.0000
```

symmetry = P4/mmm (123)


# 6
CrGeSbTe2 | PBE | relaxed

Structure (POSCAR):
```
CrGeSbTe2
1.0
5.3111 0.0000 0.0000
0.0000 5.3111 0.0000
0.0000 0.0000 5.3082
Te Cr Ge Sb
2 1 1 1
Direct
0.5000 0.0000 0.0000
0.0000 0.5000 0.0000
0.5000 0.5000 0.5000
0.0000 0.0000 0.0000
0.0000 0.0000 0.5000
```

energy above the lowest structure with this stoichiometry = 787 meV per atom
symmetry = P4/mmm (123)


Total magnetization in μB per formula unit, matching the order above: 3.3 4.0 1.6 2.5 7.3 0.0
Uncorrected formation energy in eV/atom, matching the order above: 0.2430 0.3265 0.5495 0.3766 1.3395 1.2902